CaMoRu2 | PBE | relaxed

Cell lengths 7.2222, 7.2222, 5.9112 Å; angles 52.35, 52.35, 90.00 degrees
Closest atoms and distances in Å follow each position.
Sites, in units of the cell vectors:
Ca 0.5000 0.5000 0.0000  8 Ru 2.94-3.20, 2 Mo 2.98
Ca 0.2500 0.7500 0.5000  8 Ru 2.94-3.20, 2 Mo 2.98
Ru 0.8750 0.9285 0.7500  2 Mo 2.41
Ru 0.0715 0.6250 0.2500  2 Mo 2.41
Ru 0.6785 0.1250 0.2500  2 Mo 2.41
Ru 0.3750 0.3215 0.7500  2 Mo 2.41
Mo 0.7500 0.2500 0.5000  4 Ru 2.41
Mo 0.0000 0.0000 0.0000  4 Ru 2.41

* Fermi-level density of states: 3.70 states/eV/cell
* SG: I-42d
* calculated density: 7.2 g/cm3
* formation energy: 0.5647 eV per atom
* DFT total energy: -7.28 eV/atom
* E above lowest polymorph: 1.67 eV per formula unit